A plane-wave DFT calculation with GGA-PBEsol was carried out for crystalline RbCrN2 at its relaxed geometry.

Summary:
Final energy   -7.666 eV/atom

The structure in CIF format:
```
data_RbCrN2
_space_group_name_H-M_alt 'P b c m'
_space_group_IT_number 57
_cell_length_a 8.052
_cell_length_b 5.686
_cell_length_c 11.372
_cell_angle_alpha 90.00
_cell_angle_beta 90.00
_cell_angle_gamma 90.00
loop_
_space_group_symop_operation_xyz
'x,y,z'
'-x,-y,-z'
'-x,-y,z+1/2'
'x,y,-z+1/2'
'x,-y+1/2,-z'
'-x,y+1/2,z'
'-x,y+1/2,-z+1/2'
'x,-y+1/2,z+1/2'
loop_
_atom_site_label
_atom_site_fract_x
_atom_site_fract_y
_atom_site_fract_z
Rb1 0.125 0.239 0.250
Rb2 0.375 0.250 0.000
Cr1 0.125 0.750 0.000
Cr2 0.375 0.742 0.250
N1 0.000 0.000 0.000
N2 0.250 0.749 0.125
N3 0.494 0.014 0.750
```